Below is a geometry-optimized Nd8Er structure, with properties calculated at the PBE-GGA level.

Computed properties:
E_form   14 meV per atom
D(E_F)   14.1 states/eV per cell

Lattice parameters (Å, degrees): 5.1784 8.1900 8.1900 84.26 71.57 71.57
Fractional coordinates of all 9 atoms:
Nd: 0.3344 0.0000 0.3312
Nd: 0.6656 0.0000 0.6688
Nd: 0.6656 0.6688 0.0000
Nd: 0.0000 0.6676 0.3324
Nd: 0.3324 0.6676 0.6676
Nd: 0.6676 0.3324 0.3324
Nd: 0.0000 0.3324 0.6676
Nd: 0.3344 0.3312 0.0000
Er: 0.0000 0.0000 0.0000

=====

Below is a geometry-optimized TlPOs2 structure, with properties calculated at the PBE-GGA level.

Computed properties:
E_form   669 meV per atom
Distance to the lowest polymorph of the same formula   275.9 meV per atom
D(E_F)   2.7 states/eV per cell

Lattice parameters (Å, degrees): 5.2840 5.2840 5.2840 148.12 121.46 68.22
Fractional coordinates of all 4 atoms:
Tl: 0.5000 0.0000 0.5000
P: 0.0000 0.5000 0.5000
Os: 0.7904 0.7904 0.0000
Os: 0.2096 0.2096 0.0000

=====

Below is a geometry-optimized Pa3Be2Co3 structure, with properties calculated at the PBE-GGA level.

Computed properties:
E_form   -287 meV per atom
D(E_F)   35.6 states/eV per cell

Lattice parameters (Å, degrees): 5.8382 7.1060 12.2991 90.00 90.00 90.00
Fractional coordinates of all 32 atoms:
Pa: 0.1349 0.5139 0.3985
Pa: 0.6349 0.9861 0.6015
Pa: 0.8651 0.4861 0.8985
Pa: 0.3651 0.0139 0.1015
Pa: 0.8651 0.4861 0.6015
Pa: 0.3651 0.0139 0.3985
Pa: 0.1349 0.5139 0.1015
Pa: 0.6349 0.9861 0.8985
Pa: 0.6182 0.3794 0.2500
Pa: 0.1182 0.1206 0.7500
Pa: 0.3818 0.6206 0.7500
Pa: 0.8818 0.8794 0.2500
Be: 0.8757 0.1728 0.4134
Be: 0.3757 0.3272 0.5866
Be: 0.1243 0.8272 0.9134
Be: 0.6243 0.6728 0.0866
Be: 0.1243 0.8272 0.5866
Be: 0.6243 0.6728 0.4134
Be: 0.8757 0.1728 0.0866
Be: 0.3757 0.3272 0.9134
Co: 0.1060 0.2338 0.2500
Co: 0.6060 0.2662 0.7500
Co: 0.8940 0.7662 0.7500
Co: 0.3940 0.7338 0.2500
Co: 0.6038 0.3693 0.4435
Co: 0.1038 0.1307 0.5565
Co: 0.3962 0.6307 0.9435
Co: 0.8962 0.8693 0.0565
Co: 0.3962 0.6307 0.5565
Co: 0.8962 0.8693 0.4435
Co: 0.6038 0.3693 0.0565
Co: 0.1038 0.1307 0.9435

=====

Below is a geometry-optimized TbI2Cl structure, with properties calculated at the PBE-GGA level.

Computed properties:
Uncorrected energy   -4.070 eV per atom
D(E_F)   0.0 states/eV per cell

Lattice parameters (Å, degrees): 4.3723 5.3099 8.5994 89.17 75.55 90.00
Fractional coordinates of all 4 atoms:
Tb: 0.0001 0.9999 0.0000
I: 0.3737 0.9940 0.2570
I: 0.6260 0.0061 0.7430
Cl: 0.0002 0.5000 0.9999

=====

Below is a geometry-optimized Zn4GaAg structure, with properties calculated at the PBE-GGA level.

Computed properties:
E_form   42 meV per atom
Distance to the lowest polymorph of the same formula   21.8 meV per atom
D(E_F)   1.1 states/eV per cell

Lattice parameters (Å, degrees): 5.1696 5.1696 5.1696 60.00 60.00 60.00
Fractional coordinates of all 6 atoms:
Zn: 0.6254 0.6254 0.1238
Zn: 0.6254 0.1238 0.6254
Zn: 0.6254 0.6254 0.6254
Zn: 0.1238 0.6254 0.6254
Ga: 0.2500 0.2500 0.2500
Ag: 0.0000 0.0000 0.0000

=====

Below is a geometry-optimized Tb2SmSc2 structure, with properties calculated at the PBE-GGA level.

Computed properties:
E_form   191 meV per atom
Distance to the lowest polymorph of the same formula   30.7 meV per atom
D(E_F)   14.4 states/eV per cell

Lattice parameters (Å, degrees): 9.4491 5.6552 7.9037 68.99 126.71 90.00
Fractional coordinates of all 10 atoms:
Tb: 0.4135 0.9239 0.6520
Tb: 0.7614 0.5761 0.3480
Tb: 0.5865 0.0761 0.3480
Tb: 0.2386 0.4239 0.6520
Sm: 0.8937 0.7500 0.0000
Sm: 0.1063 0.2500 0.0000
Sc: 0.6659 0.3863 0.7280
Sc: 0.0621 0.8863 0.7280
Sc: 0.3341 0.6137 0.2720
Sc: 0.9379 0.1137 0.2720